## AlFeSbI2 (GGA-PBE)

Data for a relaxed AlFeSbI2 crystal.

Geometry as POSCAR:
```
AlFeSbI2
1.0
5.4612 0.0000 0.0000
0.0000 5.4612 0.0000
0.0000 0.0000 5.4842
I Sb Fe Al
2 1 1 1
direct
0.0000 0.5000 0.0000
0.5000 0.0000 0.0000
0.0000 0.0000 0.5000
0.5000 0.5000 0.5000
0.0000 0.0000 0.0000
```

## Properties
Total magnetization   3.9 μB per cell
Formation energy from raw total energies   0.7735 eV per atom
Volume   163.6 Å³ per cell
DFT total energy   -3.1121 eV per atom
E above lowest polymorph   319 meV/atom



## SrRhW3 (GGA-PBE)

Data for a relaxed SrRhW3 crystal.

Geometry as POSCAR:
```
SrRhW3
1.0
-2.6693 -2.9856 2.4183
-1.1187 -2.2132 -3.9671
3.6757 -2.8417 0.5489
Sr Rh W
1 1 3
direct
0.0000 0.0000 0.0000
0.5000 0.5000 0.5000
0.0000 0.0000 0.5000
0.0000 0.5000 0.0000
0.5000 0.0000 0.0000
```

## Properties
Calculated formation energy   3692 meV per atom
Total magnetization   0.0 μB per cell
Volume   102.4 Å³ per cell
DFT total energy   -5.8868 eV per atom
E above lowest polymorph   1957 meV/atom



## Dy4As3S (GGA-PBE)

Data for a relaxed Dy4As3S crystal.

Geometry as POSCAR:
```
Dy4As3S
1.0
-3.0220 4.4598 2.0312
-4.8391 -3.0924 -0.4099
0.7735 -1.9223 5.3716
Dy As S
4 3 1
direct
0.0000 0.0000 0.5000
0.0000 0.5000 0.0000
0.5000 0.5000 0.5000
0.5000 0.0000 0.0000
0.5000 0.0000 0.5000
0.5000 0.5000 0.0000
0.0000 0.5000 0.5000
0.0000 0.0000 0.0000
```

## Properties
Total magnetization   0.0 μB per cell
Formation energy from raw total energies   -1.6752 eV per atom
Volume   190.8 Å³ per cell
DFT total energy   -6.2358 eV per atom
E above lowest polymorph   9 meV/atom